1.
# K5PuO5

K5PuO5 after structural relaxation (GGA-PBE, Alexandria).

```
K5PuO5
1.0
-1.1634 -4.2635 2.5281
2.4935 -1.2249 -6.0450
5.6738 1.1447 4.5416
O K Pu
5 5 1
Cartesian
-0.5817 -2.1317 1.2640
2.0481 -0.5689 -0.0169
4.9557 -3.7748 1.0415
1.6338 -4.4968 -1.7049
5.3700 0.1531 2.7295
5.1119 -1.3017 0.1572
2.1041 -2.0203 -2.4388
2.8369 0.5723 2.2708
4.8997 -2.3234 3.4634
1.8920 -3.0420 0.8674
0.0000 0.0000 0.0000
```

Values from the calculation:
As for the uncorrected formation energy: -1822 meV per atom. The value obtained for the size of the total moment is 0.27 μB per atom. As for the space group: No. 12.

***

2.
# TlSn2Te

TlSn2Te after structural relaxation (GGA-PBE, Alexandria).

```
TlSn2Te
1.0
-1.7596 4.4098 4.8348
1.0854 -4.7405 4.7188
6.5337 1.9638 5.3354
Tl Sn Te
2 4 2
Cartesian
2.2185 3.1041 7.4735
0.0000 0.0000 0.0000
0.6540 2.6930 4.9877
2.1072 -1.9592 4.8452
4.3199 1.1420 12.4022
4.6380 1.3902 7.5429
3.6410 -1.4711 7.4155
-0.3371 -0.1654 4.7768
```

Values from the calculation:
As for the uncorrected formation energy: 153 meV per atom. The value obtained for the size of the total moment is 0.00 μB per atom. As for the space group: No. 122.

***

3.
# Ba3In2Ga2Au4

Ba3In2Ga2Au4 after structural relaxation (GGA-PBE, Alexandria).

```
Ba3In2Ga2Au4
1.0
4.7468 0.0000 0.0000
-2.3734 4.1109 0.0000
0.0000 0.0000 16.7200
In Ba Au Ga
2 3 4 2
Cartesian
0.0000 2.7406 9.4364
2.3734 1.3703 7.2835
0.0000 0.0000 12.1734
0.0000 0.0000 4.5466
0.0000 0.0000 0.0000
2.3734 1.3703 2.2674
0.0000 2.7406 6.5945
0.0000 2.7406 14.4525
2.3734 1.3703 10.1255
2.3734 1.3703 14.4216
0.0000 2.7406 2.2983
```

Values from the calculation:
The value obtained for the size of the total moment is 0.00 μB per atom. As for the space group: No. 164. The energy relative to the elements comes out at -0.53 eV/atom.

***

4.
# LiTeMo2

LiTeMo2 after structural relaxation (GGA-PBE, Alexandria).

```
LiTeMo2
1.0
3.0193 0.0020 0.0000
-1.1819 2.7784 0.0000
0.0000 0.0000 9.1037
Mo Li Te
2 1 1
Cartesian
0.0000 0.0000 0.1674
0.9187 1.3902 2.0199
0.9187 1.3902 6.9699
0.0000 0.0000 4.4984
```

Values from the calculation:
As for the uncorrected formation energy: 332 meV per atom. The value obtained for the size of the total moment is 0.00 μB per atom. As for the space group: No. 35.

***

Energy for the records above, in order: -64.7; -25.8; -36.3; -25.4 eV per cell